Entry from the Alexandria database: a relaxed structure of Ca2LaMn2O7 (PBE with a Hubbard U).

Cell and atoms, written as POSCAR:
```
Ca2LaMn2O7
1.0
-6.9345 5.2757 5.1549
-9.3902 3.7521 0.4898
7.3025 -6.8233 -1.6156
O Mn La Ca
7 2 1 2
Direct
0.4036 0.9036 0.5000
0.1999 0.1999 0.0000
0.5964 0.0964 0.5000
0.8001 0.8001 0.0000
0.0964 0.5964 0.5000
0.0000 0.0000 0.0000
0.9036 0.4036 0.5000
0.8976 0.8976 0.0000
0.1024 0.1024 0.0000
0.5000 0.5000 0.0000
0.3148 0.3148 0.0000
0.6852 0.6852 0.0000
```

## Properties
* symmetry: I4/mmm
* VASP energy: -7.318 eV/atom